DFT (PBE) results for crystalline RbTlSeN2 at its relaxed geometry.

Values from the calculation:
electronic total energy: -17.3 eV for the cell shown
energy above the most stable polymorph in this dataset: 0 meV/atom

Cell: 4.819 4.819 5.590 Å, 90.00 90.00 90.00°
Space group P4/mmm (No. 123)
Inequivalent atoms, fractional coordinates:
Rb (0.000, 0.000, 0.000)
Tl (0.500, 0.500, 0.500)
Se (0.500, 0.500, 0.000)
N (0.000, 0.500, 0.500)

=====

DFT (PBE) results for crystalline RbLiSiAu2 at its relaxed geometry.

Values from the calculation:
electronic total energy: -15.9 eV for the cell shown
energy above the most stable polymorph in this dataset: 0 meV/atom

Cell: 4.927 4.927 5.136 Å, 90.00 90.00 90.00°
Space group P4/mmm (No. 123)
Inequivalent atoms, fractional coordinates:
Rb (0.000, 0.000, 0.000)
Li (0.500, 0.500, 0.000)
Si (0.500, 0.500, 0.500)
Au (0.000, 0.500, 0.500)

=====

DFT (PBE) results for crystalline Pr2TlRh3O8 at its relaxed geometry.

Values from the calculation:
electronic total energy: -283.7 eV for the cell shown

Cell: 6.6544 6.6544 16.2720 Å, 90.00 90.00 120.00°
Space group R3m (No. 160, hexagonal axes)
Inequivalent atoms, fractional coordinates:
Pr (0.0000, 0.0000, 0.0000)
Pr (0.0000, 0.0000, 0.3774)
Tl (0.0000, 0.0000, 0.7565)
Rh (0.1690, 0.3380, 0.2124)
O (0.0000, 0.0000, 0.1503)
O (0.0000, 0.0000, 0.6014)
O (0.0415, 0.5208, 0.1496)
O (0.1795, 0.3590, 0.9454)

=====

DFT (PBE) results for crystalline Ac2Pm3PrN6 at its relaxed geometry.

Values from the calculation:
electronic total energy: -184.4 eV for the cell shown

Cell: 16.327 3.717 7.471 Å, 90.00 103.38 90.00°
Space group C2/m (No. 12)
Inequivalent atoms, fractional coordinates:
Ac (0.166, 0.000, 0.329)
Pm (0.000, 0.500, 0.500)
Pm (0.161, 0.000, 0.832)
Pr (0.000, 0.500, 0.000)
N (0.003, 0.000, 0.749)
N (0.160, 0.500, 0.596)
N (0.163, 0.500, 0.074)

=====

DFT (PBE) results for crystalline SmHo3Er2Te6 at its relaxed geometry.

Values from the calculation:
electronic total energy: -123.0 eV for the cell shown

Cell: 18.947 4.321 8.749 Å, 90.00 103.07 90.00°
Space group C2/m (No. 12)
Inequivalent atoms, fractional coordinates:
Sm (0.000, 0.000, 0.000)
Ho (0.000, 0.000, 0.500)
Ho (0.162, 0.500, 0.833)
Er (0.164, 0.500, 0.329)
Te (0.002, 0.500, 0.257)
Te (0.168, 0.000, 0.583)
Te (0.171, 0.000, 0.086)

=====

DFT (PBE) results for crystalline Tm2Cd2Ir at its relaxed geometry.

Values from the calculation:
energy of formation from the pure elements: -548.6 meV per atom
electronic total energy: -44.8 eV for the cell shown

Cell: 3.382 3.382 19.650 Å, 90.00 90.00 90.00°
Space group I4/mmm (No. 139)
Inequivalent atoms, fractional coordinates:
Tm (0.000, 0.000, 0.084)
Cd (0.000, 0.000, 0.299)
Ir (0.000, 0.000, 0.500)

=====

electronic total energy of number 2 (RbLiSiAu2)? -15.9 eV for the cell shown